(1)
This record from the Open Quantum Materials Database describes a relaxed structure of TlGa2Ag2. The functional is PBE-GGA.

It has space group I4/mmm (No. 139), with a = 4.355 Å, b = 4.355 Å, c = 11.543 Å, α = 90.00°, β = 90.00° and γ = 90.00°. Symmetry generates all atoms from Tl at (0.000, 0.000, 0.000), Ga at (0.000, 0.000, 0.390) and Ag at (0.000, 0.500, 0.250).

=====

(2)
This record from the Open Quantum Materials Database describes a relaxed structure of Tm3Ga4Ag2. The functional is PBE-GGA.

It has space group C2/m (No. 12), with a = 10.519 Å, b = 4.532 Å, c = 8.490 Å, α = 90.00°, β = 114.88° and γ = 90.00°. Symmetry generates all atoms from Tm at (0.000, 0.000, 0.000), Tm at (0.170, 0.500, 0.660), Ga at (0.034, 0.000, 0.370), Ga at (0.243, 0.500, 0.076) and Ag at (0.106, 0.500, 0.273).

=====

(3)
This record from the Open Quantum Materials Database describes a relaxed structure of YTmGa2Ag2. The functional is PBE-GGA.

It has space group P-6m2 (No. 187), with a = 4.5677 Å, b = 4.5677 Å, c = 6.9968 Å, α = 90.00°, β = 90.00° and γ = 120.00°. Symmetry generates all atoms from Y at (0.0000, 0.0000, 0.0000), Tm at (0.0000, 0.0000, 0.5000), Ga at (0.3333, 0.6667, 0.2819) and Ag at (0.6667, 0.3333, 0.2412).

=====

(4)
This record from the Open Quantum Materials Database describes a relaxed structure of GaAgW. The functional is PBE-GGA.

It has space group F-43m (No. 216), with a = 6.195 Å, b = 6.195 Å, c = 6.195 Å, α = 90.00°, β = 90.00° and γ = 90.00°. Symmetry generates all atoms from Ga at (0.000, 0.000, 0.000), Ag at (0.000, 0.000, 0.500) and W at (0.250, 0.250, 0.750).

=====

(5)
This record from the Open Quantum Materials Database describes a relaxed structure of GaAgW. The functional is PBE-GGA.

It has space group F-43m (No. 216), with a = 6.123 Å, b = 6.123 Å, c = 6.123 Å, α = 90.00°, β = 90.00° and γ = 90.00°. Symmetry generates all atoms from Ga at (0.000, 0.000, 0.000), Ag at (0.250, 0.250, 0.250) and W at (0.000, 0.000, 0.500).

=====

(6)
This record from the Open Quantum Materials Database describes a relaxed structure of GaAgW2. The functional is PBE-GGA.

It has space group F-43m (No. 216), with a = 6.390 Å, b = 6.390 Å, c = 6.390 Å, α = 90.00°, β = 90.00° and γ = 90.00°. Symmetry generates all atoms from Ga at (0.000, 0.000, 0.000), Ag at (0.250, 0.250, 0.250), W at (0.000, 0.000, 0.500) and W at (0.250, 0.250, 0.750).

=====

no.,total energy (eV/atom),mass density (g/cm3)
1,-2.747,8.5
2,-3.998,9.1
3,-4.283,8.1
4,-5.165,10.1
5,-5.089,10.5
6,-7.387,13.9